[1]
Density functional theory data (GGA-PBE) for a relaxed Ho5Er4Mg2 crystal.

Structure (extended XYZ):
```
11
Lattice="3.3974 0.0000 0.0000 0.0000 8.7600 0.0000 -1.6987 -4.3800 11.3951" Properties=species:S:1:pos:R:3 pbc="T T T"
Ho 1.6987 0.0000 0.0000
Mg 1.6987 4.3800 2.2361
Er 0.0000 5.9621 0.0000
Mg 0.0000 0.0000 9.1590
Ho 1.6987 2.6513 8.1947
Er 1.6987 4.3800 5.2799
Er 0.0000 0.0000 6.1152
Ho 0.0000 1.7287 3.2004
Ho 0.0000 7.0314 3.2004
Er 0.0000 2.7980 0.0000
Ho 1.6987 -2.6513 8.1947
```

Values from the calculation:
The space group is Immm, No. 71. For the offset from the most stable computed form, the calculation gives 211 kJ/mol of formula units. The formation energy comes out at 2.66 eV/f.u.



[2]
Density functional theory data (GGA-PBE) for a relaxed Pr5Ga2Ge crystal.

Structure (extended XYZ):
```
16
Lattice="7.9635 0.0000 0.0000 0.0000 7.9635 0.0000 -3.9818 -3.9818 7.1756" Properties=species:S:1:pos:R:3 pbc="T T T"
Pr 2.5995 -1.3823 5.0170
Ge 0.0000 0.0000 3.5878
Pr 5.3640 6.5813 2.1587
Ga 4.9183 0.9365 0.0000
Ga 3.0452 7.0270 0.0000
Pr 1.3823 5.3640 2.1587
Pr -2.5995 1.3823 5.0170
Pr 3.9818 3.9818 0.0000
Ga 7.0270 4.9183 0.0000
Ge 3.9818 3.9818 3.5878
Pr 1.3823 2.5995 5.0170
Pr -1.3823 -2.5995 5.0170
Ga 0.9365 3.0452 0.0000
Pr 2.5995 1.3823 2.1587
Pr 6.5813 2.5995 2.1587
Pr 0.0000 0.0000 0.0000
```

Values from the calculation:
The space group is I4/mcm, No. 140. The formation energy comes out at -4.14 eV/f.u.



[3]
Density functional theory data (GGA-PBE) for a relaxed TlInFeCl4 crystal.

Structure (extended XYZ):
```
14
Lattice="7.0674 0.0000 -0.0682 0.0000 7.2079 0.0000 -2.8665 0.0000 8.6115" Properties=species:S:1:pos:R:3 pbc="T T T"
In 2.4608 5.4059 8.0033
Cl 4.8020 0.0176 6.6377
Cl -0.6011 3.6215 1.9056
Tl 4.2759 5.4059 3.9251
Tl -0.0751 1.8020 4.6181
Cl 1.5457 1.8020 7.3238
Fe 3.4577 1.8020 6.0746
Cl 2.6552 5.4059 1.2194
In 1.7401 1.8020 0.5400
Cl 3.0472 1.8020 3.8229
Fe 0.7432 5.4059 2.4686
Cl -0.6011 7.1903 1.9056
Cl 4.8020 3.5863 6.6377
Cl 1.1537 5.4059 4.7204
```

Values from the calculation:
The calculation puts the formation energy from raw total energies at -0.824 eV per atom. The space group is P2_1/m, No. 11.



[4]
Density functional theory data (GGA-PBE) for a relaxed Tb2Y3ErSe6 crystal.

Structure (extended XYZ):
```
12
Lattice="4.0695 0.0000 0.0000 0.0000 8.1902 0.2921 -2.0348 -2.3610 8.5663" Properties=species:S:1:pos:R:3 pbc="T T T"
Se 0.0000 1.8332 5.8459
Er 2.0348 0.0000 0.0000
Y 2.0348 4.0951 0.1460
Se 2.0348 -0.3428 8.6292
Y 0.0000 6.0253 3.1269
Se 0.0000 5.9391 6.0135
Tb 2.0348 3.8773 5.8868
Tb 0.0000 1.9519 2.9716
Se 2.0348 -0.1099 2.8450
Y 2.0348 -0.1960 5.7315
Se 0.0000 6.1721 0.2292
Se 2.0348 3.9960 3.0125
```

Values from the calculation:
The calculation puts the formation energy from raw total energies at -1.756 eV per atom. The space group is C2/m, No. 12.